Model A:
La2PaS6: optimized geometry, GGA-PBE.

Unit cell a=6.5077 b=6.5077 c=12.8845 alpha=90.00 beta=90.00 gamma=90.00
Closest atoms and distances in Å follow each position.
Element x y z (fractional)
La  0.0000  0.0000  0.3317  6 S 2.87-2.91
La  0.5000  0.5000  0.8317  6 S 2.87-2.91
La  0.5000  0.5000  0.1683  6 S 2.87-2.91
La  0.0000  0.0000  0.6683  6 S 2.87-2.91
Pa  0.0000  0.0000  0.0000  6 S 2.63-2.66
Pa  0.5000  0.5000  0.5000  6 S 2.63-2.66
S  0.3114  0.3114  0.3462  1 Pa 2.63, 2 La 2.87-2.88
S  0.6886  0.6886  0.3462  1 Pa 2.63, 2 La 2.87-2.88
S  0.1886  0.8114  0.8462  1 Pa 2.63, 2 La 2.87-2.88
S  0.8114  0.1886  0.8462  1 Pa 2.63, 2 La 2.87-2.88
S  0.1886  0.8114  0.1538  1 Pa 2.63, 2 La 2.87-2.88
S  0.8114  0.1886  0.1538  1 Pa 2.63, 2 La 2.87-2.88
S  0.3114  0.3114  0.6538  1 Pa 2.63, 2 La 2.87-2.88
S  0.6886  0.6886  0.6538  1 Pa 2.63, 2 La 2.87-2.88
S  0.2891  0.2891  0.0000  1 Pa 2.66, 2 La 2.91
S  0.7109  0.7109  0.0000  1 Pa 2.66, 2 La 2.91
S  0.2109  0.7891  0.5000  1 Pa 2.66, 2 La 2.91
S  0.7891  0.2109  0.5000  1 Pa 2.66, 2 La 2.91

Calculated values
Space group: P4_2/mnm
Magnetic moment (μB/f.u.): 0.0



Model B:
La2PaS6: optimized geometry, GGA-PBE.

Unit cell a=4.6911 b=6.9031 c=8.1921 alpha=114.92 beta=109.01 gamma=90.00
Closest atoms and distances in Å follow each position.
Element x y z (fractional)
La  0.3327  0.3316  0.6633  8 S 2.93-3.01
La  0.6673  0.6684  0.3367  8 S 2.93-3.01
Pa  0.0000  0.0000  0.0000  8 S 2.75-2.81
S  0.8439  0.0833  0.6851  1 Pa 2.75, 3 La 2.93-2.96
S  0.1561  0.3982  0.3149  1 Pa 2.75, 3 La 2.93-2.96
S  0.1561  0.9167  0.3149  1 Pa 2.75, 3 La 2.93-2.96
S  0.5000  0.2252  0.0000  2 Pa 2.81, 2 La 3.01, 3 S 3.11-3.13
S  0.8439  0.6018  0.6851  1 Pa 2.75, 3 La 2.93-2.96
S  0.5000  0.7748  0.0000  2 Pa 2.81, 2 La 3.01, 3 S 3.11-3.13

Calculated values
Space group: C2/m
Magnetic moment (μB/f.u.): 0.0



Quick one: most stable of them? model B



Model A:
La2Pa3S8: optimized geometry, GGA-PBE.

Unit cell a=6.6560 b=8.0543 c=8.2657 alpha=119.16 beta=106.42 gamma=90.00
Closest atoms and distances in Å follow each position.
Element x y z (fractional)
La  0.3360  0.2652  0.5303  6 S 2.89-2.93
La  0.6640  0.7348  0.4697  6 S 2.89-2.93
Pa  0.5000  0.0000  0.0000  6 S 2.74-2.76
Pa  0.0000  0.2486  0.0000  6 S 2.71-2.78
Pa  0.0000  0.7514  0.0000  6 S 2.71-2.78
S  0.9258  0.6097  0.2193  2 Pa 2.71, 1 La 2.89
S  0.0742  0.3903  0.7807  2 Pa 2.71, 1 La 2.89
S  0.9204  0.1173  0.2345  3 Pa 2.76-2.78, 1 La 2.90
S  0.0796  0.8827  0.7655  3 Pa 2.76-2.78, 1 La 2.90
S  0.5866  0.6483  0.7548  2 Pa 2.74-2.75, 2 La 2.90-2.93
S  0.5866  0.1065  0.7548  2 Pa 2.74-2.75, 2 La 2.90-2.93
S  0.4134  0.8935  0.2452  2 Pa 2.74-2.75, 2 La 2.90-2.93
S  0.4134  0.3517  0.2452  2 Pa 2.74-2.75, 2 La 2.90-2.93

Calculated values
Space group: C2/m
Magnetic moment (μB/f.u.): 4.9



Model B:
La2Pa3S8: optimized geometry, GGA-PBE.

Unit cell a=4.7707 b=9.5053 c=8.3382 alpha=124.73 beta=90.00 gamma=90.00
Closest atoms and distances in Å follow each position.
Element x y z (fractional)
La  0.5000  0.2667  0.5334  8 S 2.86-3.19
La  0.5000  0.7333  0.4666  8 S 2.86-3.19
Pa  0.5000  0.0000  0.0000  8 S 2.78-2.84
Pa  0.0000  0.2661  0.0000  8 S 2.75-2.96
Pa  0.0000  0.7339  0.0000  8 S 2.75-2.96
S  0.0000  0.6182  0.2364  2 Pa 2.75, 2 La 2.86
S  0.0000  0.3818  0.7636  2 Pa 2.75, 2 La 2.86
S  0.0000  0.1118  0.2237  4 Pa 2.84-2.96, 1 S 3.07
S  0.0000  0.8882  0.7763  4 Pa 2.84-2.96, 1 S 3.07
S  0.5000  0.6444  0.7670  3 Pa 2.78-2.88, 2 La 2.95-3.07
S  0.5000  0.1225  0.7669  3 Pa 2.78-2.88, 2 La 2.95-3.07
S  0.5000  0.8775  0.2331  3 Pa 2.78-2.88, 2 La 2.95-3.07
S  0.5000  0.3556  0.2330  3 Pa 2.78-2.88, 2 La 2.95-3.07

Calculated values
Space group: Cmmm
Magnetic moment (μB/f.u.): 1.9



Quick one: most stable of them? model B